Entry 1:
Ge3PtO: optimized geometry, PBE.

Computed properties:
ΔE_f (raw)   53.8 kJ/mol of atoms
Magnetic moment   0.00 Bohr magnetons per cell
Volume   22.73 Å³ per atom
Electronic total energy   -4.4128 eV per atom
Polymorph energy (0 for the lowest one)   582.6 meV/atom

Lattice parameters (Å, degrees): 4.8441 4.8441 4.8441 90.00 90.00 90.00
Last column: nearest neighbours and their distance in Å.
Atoms (fractional coordinates):
O  0.5000  0.5000  0.5000  12 Ge 3.43
Pt  0.0000  0.0000  0.0000  6 Ge 2.42
Ge  0.0000  0.5000  0.0000  2 Pt 2.42
Ge  0.0000  0.0000  0.5000  2 Pt 2.42
Ge  0.5000  0.0000  0.0000  2 Pt 2.42

Entry 2:
Ge2Pt2O: optimized geometry, PBE.

Computed properties:
ΔE_f (raw)   3.4 kJ/mol of atoms
Magnetic moment   0.00 Bohr magnetons per cell
Volume   15.61 Å³ per atom
Electronic total energy   -5.2195 eV per atom
Polymorph energy (0 for the lowest one)   0.0 meV/atom

Lattice parameters (Å, degrees): 6.7963 6.7963 3.3800 90.00 90.00 90.00
Last column: nearest neighbours and their distance in Å.
Atoms (fractional coordinates):
Pt  0.3552  0.8552  0.0000  6 Ge 2.54-2.66, 2 O 2.61, 1 Pt 2.78
Pt  0.1448  0.3552  0.0000  6 Ge 2.54-2.66, 2 O 2.61, 1 Pt 2.78
Pt  0.8552  0.6448  0.0000  6 Ge 2.54-2.66, 2 O 2.61, 1 Pt 2.78
Pt  0.6448  0.1448  0.0000  6 Ge 2.54-2.66, 2 O 2.61, 1 Pt 2.78
Ge  0.8428  0.3428  0.5000  6 Pt 2.54-2.66
Ge  0.3428  0.1572  0.5000  6 Pt 2.54-2.66
Ge  0.6572  0.8428  0.5000  6 Pt 2.54-2.66
Ge  0.1572  0.6572  0.5000  6 Pt 2.54-2.66
O  0.0000  0.0000  0.0000  4 Pt 2.61
O  0.5000  0.5000  0.0000  4 Pt 2.61

Entry 3:
Ge3PtO: optimized geometry, PBE.

Computed properties:
ΔE_f (raw)   -2.4 kJ/mol of atoms
Magnetic moment   0.00 Bohr magnetons per cell
Volume   16.42 Å³ per atom
Electronic total energy   -4.9954 eV per atom
Polymorph energy (0 for the lowest one)   0.0 meV/atom

Lattice parameters (Å, degrees): 4.3461 4.3461 4.3461 90.00 90.00 90.00
Last column: nearest neighbours and their distance in Å.
Atoms (fractional coordinates):
Ge  0.0000  0.0000  0.5000  2 O 2.17
Ge  0.5000  0.0000  0.0000  2 O 2.17
Ge  0.0000  0.5000  0.0000  2 O 2.17
Pt  0.5000  0.5000  0.5000  12 Ge 3.07
O  0.0000  0.0000  0.0000  6 Ge 2.17

Entry 4:
GePt3O: optimized geometry, PBE.

Computed properties:
ΔE_f (raw)   46.5 kJ/mol of atoms
Magnetic moment   0.00 Bohr magnetons per cell
Volume   16.05 Å³ per atom
Electronic total energy   -5.0577 eV per atom
Polymorph energy (0 for the lowest one)   0.0 meV/atom

Lattice parameters (Å, degrees): 4.3129 4.3129 4.3129 90.00 90.00 90.00
Last column: nearest neighbours and their distance in Å.
Atoms (fractional coordinates):
O  0.0000  0.0000  0.0000  6 Pt 2.16
Pt  0.5000  0.0000  0.0000  2 O 2.16
Pt  0.0000  0.5000  0.0000  2 O 2.16
Pt  0.0000  0.0000  0.5000  2 O 2.16
Ge  0.5000  0.5000  0.5000  12 Pt 3.05

Entry 5:
Ge2Pt2O: optimized geometry, PBE.

Computed properties:
ΔE_f (raw)   22.0 kJ/mol of atoms
Magnetic moment   0.00 Bohr magnetons per cell
Volume   17.81 Å³ per atom
Electronic total energy   -5.0271 eV per atom
Polymorph energy (0 for the lowest one)   192.3 meV/atom

Lattice parameters (Å, degrees): 4.0518 4.0518 6.1339 70.71 70.71 90.00
Last column: nearest neighbours and their distance in Å.
Atoms (fractional coordinates):
Pt  0.3801  0.3801  0.2398  4 Ge 2.47, 1 Pt 2.60
Pt  0.6199  0.6199  0.7602  4 Ge 2.47, 1 Pt 2.60
Ge  0.2500  0.7500  0.5000  4 Pt 2.47
Ge  0.7500  0.2500  0.5000  4 Pt 2.47
O  0.0000  0.0000  0.0000  8 Pt 3.15, 8 Ge 3.38

Entry 6:
GePt3O: optimized geometry, PBE.

Computed properties:
ΔE_f (raw)   113.8 kJ/mol of atoms
Magnetic moment   0.00 Bohr magnetons per cell
Volume   19.93 Å³ per atom
Electronic total energy   -4.3599 eV per atom
Polymorph energy (0 for the lowest one)   697.9 meV/atom

Lattice parameters (Å, degrees): 4.6358 4.6358 4.6358 90.00 90.00 90.00
Last column: nearest neighbours and their distance in Å.
Atoms (fractional coordinates):
Pt  0.0000  0.5000  0.0000  2 Ge 2.32
Pt  0.0000  0.0000  0.5000  2 Ge 2.32
Pt  0.5000  0.0000  0.0000  2 Ge 2.32
Ge  0.0000  0.0000  0.0000  6 Pt 2.32
O  0.5000  0.5000  0.5000  12 Pt 3.28

Entry 7:
PuGePtO6: optimized geometry, PBE.

Computed properties:
ΔE_f (raw)   -142.3 kJ/mol of atoms
Magnetic moment   7.85 Bohr magnetons per cell
Volume   11.83 Å³ per atom
Electronic total energy   -7.5566 eV per atom

Lattice parameters (Å, degrees): 5.2994 5.2994 8.7523 90.00 90.00 120.00
Last column: nearest neighbours and their distance in Å.
Atoms (fractional coordinates):
Pt  0.0000  0.0000  0.5000  6 O 2.11
Pt  0.0000  0.0000  0.0000  6 O 2.11
Ge  0.3333  0.6667  0.2500  6 O 1.96
Ge  0.6667  0.3333  0.7500  6 O 1.96
O  0.9684  0.3225  0.6264  1 Ge 1.96, 1 Pt 2.11, 1 Pu 2.17
O  0.6775  0.0316  0.8736  1 Ge 1.96, 1 Pt 2.11, 1 Pu 2.17
O  0.6775  0.6459  0.6264  1 Ge 1.96, 1 Pt 2.11, 1 Pu 2.17
O  0.9684  0.6459  0.8736  1 Ge 1.96, 1 Pt 2.11, 1 Pu 2.17
O  0.0316  0.6775  0.3736  1 Ge 1.96, 1 Pt 2.11, 1 Pu 2.17
O  0.3541  0.3225  0.8736  1 Ge 1.96, 1 Pt 2.11, 1 Pu 2.17
O  0.6459  0.9684  0.3736  1 Ge 1.96, 1 Pt 2.11, 1 Pu 2.17
O  0.0316  0.3541  0.1264  1 Ge 1.96, 1 Pt 2.11, 1 Pu 2.17
O  0.3541  0.0316  0.6264  1 Ge 1.96, 1 Pt 2.11, 1 Pu 2.17
O  0.6459  0.6775  0.1264  1 Ge 1.96, 1 Pt 2.11, 1 Pu 2.17
O  0.3225  0.3541  0.3736  1 Ge 1.96, 1 Pt 2.11, 1 Pu 2.17
O  0.3225  0.9684  0.1264  1 Ge 1.96, 1 Pt 2.11, 1 Pu 2.17
Pu  0.6667  0.3333  0.2500  6 O 2.17
Pu  0.3333  0.6667  0.7500  6 O 2.17

Entry 8:
Rb2GePtO4: optimized geometry, PBE.

Computed properties:
ΔE_f (raw)   -110.8 kJ/mol of atoms
Magnetic moment   0.00 Bohr magnetons per cell
Volume   17.00 Å³ per atom
Electronic total energy   -5.2017 eV per atom

Lattice parameters (Å, degrees): 5.6182 5.6182 5.6182 105.33 111.58 111.58
Last column: nearest neighbours and their distance in Å.
Atoms (fractional coordinates):
Rb  0.5000  0.7500  0.2500  4 O 2.80
Rb  0.0000  0.0000  0.0000  4 O 2.74
O  0.6847  0.4594  0.5426  1 Ge 1.81
O  0.3153  0.8579  0.7747  1 Ge 1.81
O  0.0832  0.2253  0.5406  1 Ge 1.81
O  0.9168  0.4574  0.1421  1 Ge 1.81
Pt  0.5000  0.2500  0.7500  4 O 2.13
Ge  0.0000  0.5000  0.5000  4 O 1.81

Entry 9:
GePtRhO6: optimized geometry, PBE.

Computed properties:
ΔE_f (raw)   -81.5 kJ/mol of atoms
Magnetic moment   1.31 Bohr magnetons per cell
Volume   10.51 Å³ per atom
Electronic total energy   -6.1514 eV per atom

Lattice parameters (Å, degrees): 5.0612 5.0612 8.5294 90.00 90.00 120.00
Last column: nearest neighbours and their distance in Å.
Atoms (fractional coordinates):
Pt  0.6667  0.3333  0.7500  6 O 2.01
Pt  0.3333  0.6667  0.2500  6 O 2.01
O  0.0150  0.3527  0.6266  1 Ge 1.92, 1 Pt 2.01, 1 Rh 2.05
O  0.3376  0.9850  0.6266  1 Ge 1.92, 1 Pt 2.01, 1 Rh 2.05
O  0.6473  0.9850  0.8734  1 Ge 1.92, 1 Pt 2.01, 1 Rh 2.05
O  0.9850  0.6473  0.3734  1 Ge 1.92, 1 Pt 2.01, 1 Rh 2.05
O  0.0150  0.6624  0.8734  1 Ge 1.92, 1 Pt 2.01, 1 Rh 2.05
O  0.3527  0.0150  0.1266  1 Ge 1.92, 1 Pt 2.01, 1 Rh 2.05
O  0.3376  0.3527  0.8734  1 Ge 1.92, 1 Pt 2.01, 1 Rh 2.05
O  0.9850  0.3376  0.1266  1 Ge 1.92, 1 Pt 2.01, 1 Rh 2.05
O  0.3527  0.3376  0.3734  1 Ge 1.92, 1 Pt 2.01, 1 Rh 2.05
O  0.6473  0.6624  0.6266  1 Ge 1.92, 1 Pt 2.01, 1 Rh 2.05
O  0.6624  0.6473  0.1266  1 Ge 1.92, 1 Pt 2.01, 1 Rh 2.05
O  0.6624  0.0150  0.3734  1 Ge 1.92, 1 Pt 2.01, 1 Rh 2.05
Rh  0.0000  0.0000  0.0000  6 O 2.05
Rh  0.0000  0.0000  0.5000  6 O 2.05
Ge  0.6667  0.3333  0.2500  6 O 1.92
Ge  0.3333  0.6667  0.7500  6 O 1.92

Entry 10:
Sc4GePtO: optimized geometry, PBE.

Computed properties:
ΔE_f (raw)   -144.2 kJ/mol of atoms
Magnetic moment   0.00 Bohr magnetons per cell
Volume   18.19 Å³ per atom
Electronic total energy   -7.3430 eV per atom

Lattice parameters (Å, degrees): 6.0441 6.0100 7.6353 90.00 113.32 90.00
Last column: nearest neighbours and their distance in Å.
Atoms (fractional coordinates):
Sc  0.0000  0.0000  0.5000  2 O 2.13
Sc  0.5000  0.5000  0.5000  2 O 2.13
Sc  0.0800  0.7500  0.1599  1 O 2.34
Sc  0.4320  0.7500  0.8639  1 Pt 2.59, 1 O 2.60
Sc  0.0000  0.5000  0.5000  2 O 2.13
Sc  0.5680  0.2500  0.1361  1 Pt 2.59, 1 O 2.60
Sc  0.5000  0.0000  0.5000  2 O 2.13
Sc  0.9200  0.2500  0.8401  1 O 2.34
O  0.7535  0.2500  0.5071  5 Sc 2.13-2.34
O  0.2465  0.7500  0.4929  5 Sc 2.13-2.34
Ge  0.1151  0.2500  0.2303  7 Sc 2.74-3.05
Ge  0.8849  0.7500  0.7697  7 Sc 2.74-3.05
Pt  0.3832  0.2500  0.7664  5 Sc 2.59-2.83
Pt  0.6168  0.7500  0.2336  5 Sc 2.59-2.83

Entry 11:
SrGePtO4: optimized geometry, PBE.

Computed properties:
ΔE_f (raw)   -136.4 kJ/mol of atoms
Magnetic moment   1.34 Bohr magnetons per cell
Volume   14.93 Å³ per atom
Electronic total energy   -6.0098 eV per atom

Lattice parameters (Å, degrees): 5.6989 5.6989 6.9356 90.00 90.00 111.90
Last column: nearest neighbours and their distance in Å.
Atoms (fractional coordinates):
O  0.7872  0.7739  0.2500  1 Ge 1.78
O  0.7739  0.7872  0.7500  1 Ge 1.78
O  0.2340  0.7660  0.4597  1 Ge 1.79
O  0.2128  0.2261  0.7500  1 Ge 1.78
O  0.7660  0.2340  0.9597  1 Ge 1.79
O  0.2340  0.7660  0.0403  1 Ge 1.79
O  0.7660  0.2340  0.5403  1 Ge 1.79
O  0.2261  0.2128  0.2500  1 Ge 1.78
Ge  0.1235  0.8765  0.2500  4 O 1.78-1.79
Ge  0.8765  0.1235  0.7500  4 O 1.78-1.79
Sr  0.5000  0.5000  0.0000  6 O 2.49-2.53
Sr  0.5000  0.5000  0.5000  6 O 2.49-2.53
Pt  0.7986  0.2014  0.2500  2 O 2.04
Pt  0.2014  0.7986  0.7500  2 O 2.04

Entry 12:
YGePt2O: optimized geometry, PBE.

Computed properties:
ΔE_f (raw)   -65.7 kJ/mol of atoms
Magnetic moment   0.00 Bohr magnetons per cell
Volume   18.26 Å³ per atom
Electronic total energy   -6.3048 eV per atom

Lattice parameters (Å, degrees): 4.8243 3.9235 4.8243 90.00 90.00 90.00
Last column: nearest neighbours and their distance in Å.
Atoms (fractional coordinates):
Y  0.5000  0.5000  0.5000  8 Pt 3.11, 4 O 3.41
Pt  0.5000  0.0000  0.0000  2 Ge 2.41
Pt  0.0000  0.0000  0.5000  2 Ge 2.41
Ge  0.0000  0.0000  0.0000  2 O 1.96
O  0.0000  0.5000  0.0000  2 Ge 1.96